No. 1
Material: CeGdTm
Method: DFT, PBE
State: optimized geometry

The space group is I4mm (No. 107) and the conventional cell measures 3.5194, 3.5194 and 14.7570 Å, with angles of 90.00, 90.00 and 90.00 degrees. Symmetry generates all atoms from Ce at (0.0000, 0.0000, 0.0000), Gd at (0.0000, 0.0000, 0.6628) and Tm at (0.0000, 0.0000, 0.3387).

The energy above the most stable polymorph in this dataset is 8 meV/atom. The calculation puts the total magnetization at 6.8 μB per formula unit. As for the crystal system: tetragonal. The calculated formation energy comes out at 0.070 eV/atom.



No. 2
Material: CeGdTm2
Method: DFT, PBE
State: optimized geometry

The space group is P4/mmm (No. 123) and the conventional cell measures 4.9953, 4.9953 and 4.8980 Å, with angles of 90.00, 90.00 and 90.00 degrees. Symmetry generates all atoms from Ce at (0.0000, 0.0000, 0.0000), Gd at (0.5000, 0.5000, 0.0000) and Tm at (0.0000, 0.5000, 0.5000).

The energy above the most stable polymorph in this dataset is 6 meV/atom. The calculation puts the total magnetization at 6.7 μB per formula unit. As for the crystal system: tetragonal. The calculated formation energy comes out at 0.068 eV/atom.



Copy entry 1 word for word.
Material: CeGdTm
Method: DFT, PBE
State: optimized geometry

The space group is I4mm (No. 107) and the conventional cell measures 3.5194, 3.5194 and 14.7570 Å, with angles of 90.00, 90.00 and 90.00 degrees. Symmetry generates all atoms from Ce at (0.0000, 0.0000, 0.0000), Gd at (0.0000, 0.0000, 0.6628) and Tm at (0.0000, 0.0000, 0.3387).

The energy above the most stable polymorph in this dataset is 8 meV/atom. The calculation puts the total magnetization at 6.8 μB per formula unit. As for the crystal system: tetragonal. The calculated formation energy comes out at 0.070 eV/atom.



> calculated formation energy of number 2 (CeGdTm2)?

0.068 eV/atom